The following is a PBE-GGA calculation of a relaxed structure of AcTmI, from the Alexandria database.

The final energy comes out at -3.61 eV/atom. The formation energy from raw total energies comes out at -66.4 kJ/mol of formula units.

The structure belongs to space group P3m1 (No. 156); the cell edges are 5.5768, 5.5768 and 3.9516 Å and the angles 90.00°, 90.00° and 120.00°. The inequivalent atoms are Ac at (0.0000, 0.0000, 0.0000), Tm at (0.3333, 0.6667, 0.4995) and I at (0.6667, 0.3333, 0.4975).